Below is a geometry-optimized ReIr2Se structure, with properties calculated at the PBE-GGA level.

## Properties
The calculation puts the final energy at -7.92 eV per atom.

a = 2.7868 Å, b = 2.7868 Å, c = 9.4687 Å
α = 90.00°, β = 90.00°, γ = 120.41°
Sites, in units of the cell vectors:
Ir 0.0000 0.0000 0.0118
Ir 0.0000 0.0000 0.4882
Re 0.5000 0.5000 0.2500
Se 0.5000 0.5000 0.7500

---

Below is a geometry-optimized ReIrSe2 structure, with properties calculated at the PBE-GGA level.

## Properties
The calculation puts the final energy at -6.38 eV per atom. The value obtained for the energy above the most stable polymorph in this dataset is 553.3 meV per atom.

a = 4.2377 Å, b = 2.6933 Å, c = 6.5822 Å
α = 114.16°, β = 90.00°, γ = 90.00°
Sites, in units of the cell vectors:
Ir 0.5000 0.2500 0.2500
Re 0.5000 0.7500 0.7500
Se 0.0000 0.0017 0.0007
Se 0.0000 0.4983 0.4993

---

Below is a geometry-optimized Re2IrSe2 structure, with properties calculated at the PBE-GGA level.

## Properties
The calculation puts the final energy at -7.36 eV per atom. The value obtained for the energy above the most stable polymorph in this dataset is 38.6 meV per atom.

a = 7.1723 Å, b = 7.1723 Å, c = 3.1096 Å
α = 90.00°, β = 90.00°, γ = 90.00°
Sites, in units of the cell vectors:
Re 0.3563 0.8563 0.0000
Re 0.8563 0.6437 0.0000
Re 0.6437 0.1437 0.0000
Re 0.1437 0.3563 0.0000
Ir 0.0000 0.0000 0.0000
Ir 0.5000 0.5000 0.0000
Se 0.1510 0.6510 0.5000
Se 0.6510 0.8490 0.5000
Se 0.8490 0.3490 0.5000
Se 0.3490 0.1510 0.5000

---

Below is a geometry-optimized Re2IrSe structure, with properties calculated at the PBE-GGA level.

## Properties
The calculation puts the final energy at -8.87 eV per atom.

a = 2.9564 Å, b = 2.9564 Å, c = 6.7971 Å
α = 90.00°, β = 90.00°, γ = 90.00°
Sites, in units of the cell vectors:
Ir 0.5000 0.5000 0.7500
Re 0.0000 0.0000 0.0178
Re 0.0000 0.0000 0.4822
Se 0.5000 0.5000 0.2500

---

Below is a geometry-optimized ReIrSe2 structure, with properties calculated at the PBE-GGA level.

## Properties
The calculation puts the final energy at -6.88 eV per atom. The value obtained for the energy above the most stable polymorph in this dataset is 58.2 meV per atom.

a = 9.7538 Å, b = 9.7538 Å, c = 9.7538 Å
α = 17.85°, β = 17.85°, γ = 17.85°
Sites, in units of the cell vectors:
Ir 0.4970 0.4970 0.4970
Re 0.7513 0.7513 0.7513
Se 0.0242 0.0242 0.0242
Se 0.2276 0.2276 0.2276

---

Below is a geometry-optimized ReIr2Se structure, with properties calculated at the PBE-GGA level.

## Properties
The calculation puts the final energy at -7.98 eV per atom.

a = 2.8238 Å, b = 3.6757 Å, c = 5.9824 Å
α = 90.00°, β = 90.00°, γ = 90.00°
Sites, in units of the cell vectors:
Ir 0.0000 0.0000 0.9975
Ir 0.5000 0.5000 0.2605
Re 0.0000 0.0000 0.4692
Se 0.5000 0.5000 0.7728

---

Which formation energy without anion corrections belongs to each record? In order, 0.491; 0.685; 0.790; 0.436; 0.190; 0.436 eV/atom.